Below is a relaxed BaNd2S4 crystal, with properties calculated at the GGA-PBEsol level.

```
data_BaNd2S4
_cell_length_a 11.7221
_cell_length_b 4.1936
_cell_length_c 14.7658
_cell_angle_alpha 90.00
_cell_angle_beta 90.00
_cell_angle_gamma 90.00
_space_group_name_H-M_alt 'P n m a'
_space_group_IT_number 62
loop_
_space_group_symop_operation_xyz
'x,y,z'
'-x,-y,-z'
'-x+1/2,-y,z+1/2'
'x+1/2,y,-z+1/2'
'x+1/2,-y+1/2,-z+1/2'
'-x+1/2,y+1/2,z+1/2'
'-x,y+1/2,-z'
'x,-y+1/2,z'
loop_
_atom_site_label
_atom_site_fract_x
_atom_site_fract_y
_atom_site_fract_z
Ba1 0.2371 0.2500 0.1578
Nd1 0.0622 0.7500 0.3903
Nd2 0.1051 0.7500 0.9019
S1 0.0020 0.7500 0.7195
S2 0.0591 0.7500 0.0858
S3 0.1491 0.2500 0.5088
S4 0.2240 0.2500 0.8155
```

Computed properties:
- Energy above the most stable polymorph in this dataset: 0 meV per atom
- Raw formation energy: -2.123 eV per atom